# KZrMo2

A relaxed structure of KZrMo2 (PBE, Alexandria via LeMat-Bulk).

Results
Space-group type = No. 122
Crystal system = tetragonal
DFT total energy = -6.22 eV per atom
E above lowest polymorph = 1054 meV/atom
E_form = 1608 meV per atom
Mass density = 5.1 g/cm³

The structure in POSCAR format:
```
KZrMo2
1.0
-1.3316 -0.9254 -4.3460
1.8524 -4.2395 0.3352
-8.3104 -6.0613 1.3613
Mo K Zr
4 2 2
Cartesian
-2.8885 -2.7697 -3.0201 Mo
-2.2077 -5.0600 -3.6535 Mo
-6.3299 -5.8136 -0.5360 Mo
-7.3371 -5.4949 -2.7708 Mo
0.2604 -2.5825 -2.0054 K
-3.0988 -6.4416 -0.1545 K
0.0000 0.0000 0.0000 Zr
-4.6908 -4.7846 -2.4951 Zr
```

=====

# YPuScO6

A relaxed structure of YPuScO6 (PBE, Alexandria via LeMat-Bulk).

Results
Space-group type = No. 163
Crystal system = trigonal
DFT total energy = -9.38 eV per atom
Energy relative to the elements, uncorrected = -3063 meV per atom
Mass density = 6.2 g/cm³

The structure in POSCAR format:
```
YPuScO6
1.0
-4.3944 1.5288 -2.9596
1.9341 -5.1489 -0.3945
-5.7804 -2.7212 7.1772
Y Pu Sc O
2 2 2 12
Cartesian
0.0000 0.0000 0.0000 Y
-2.8902 -1.3606 3.5886 Y
-3.7300 -1.3774 -0.3102 Pu
-4.5107 -4.9639 4.1334 Pu
-1.6205 -3.6033 0.5448 Sc
-6.6202 -2.7379 3.2784 Sc
-2.4132 -2.7018 -1.2114 O
-4.4824 -0.6343 -2.0941 O
-3.2791 -6.3143 3.1537 O
-3.7583 -5.7069 5.9173 O
-2.9842 -2.2294 1.4270 O
-5.2118 -2.8020 -0.5841 O
-5.9138 -6.4715 3.8914 O
-4.9616 -0.0269 0.6695 O
-3.0289 -3.5392 4.4073 O
-2.3269 0.1303 -0.0682 O
-5.2565 -4.1118 2.3961 O
-5.8275 -3.6394 5.0346 O
```

=====

Question: Number 2 is which compound?
Answer: YPuScO6